1.
GGA-PBE Rb2NbCr, optimized geometry; electronic total energy = -3.953 eV/atom; volume = 52.303 A^3/atom; DOS(E_F) = 1.33 states/eV/atom; SG = I-42d (122)
1.0
-10.312 5.976 -6.183
-8.125 -9.933 3.950
-9.705 -0.807 0.827
Cr Rb Nb
2 4 2
Direct
0.250 0.750 0.500
0.500 0.500 0.000
0.375 0.546 0.750
0.454 0.125 0.250
0.296 0.625 0.250
0.875 0.704 0.750
0.750 0.250 0.500
0.000 0.000 0.000

***

2.
GGA-PBE RbNb2Cr, optimized geometry; electronic total energy = -5.951 eV/atom; volume = 19.116 A^3/atom; DOS(E_F) = 1.50 states/eV/atom; SG = Fm-3m (225)
1.0
0.000 3.369 3.369
3.369 0.000 3.369
3.369 3.369 0.000
Nb Rb Cr
2 1 1
Direct
0.250 0.250 0.250
0.750 0.750 0.750
0.500 0.500 0.500
0.000 0.000 0.000

***

3.
GGA-PBE RbNb2Cr, optimized geometry; electronic total energy = -5.955 eV/atom; volume = 34.211 A^3/atom; DOS(E_F) = 0.83 states/eV/atom; SG = I4_1/amd (141)
1.0
7.278 0.000 0.000
0.000 7.278 0.000
3.639 3.639 5.167
Nb Cr Rb
4 2 2
Direct
0.875 0.625 0.750
0.375 0.625 0.750
0.375 0.125 0.250
0.375 0.625 0.250
0.500 0.500 0.000
0.250 0.750 0.500
0.750 0.250 0.500
0.000 0.000 0.000

***

4.
GGA-PBE Rb2NbCr, optimized geometry; electronic total energy = -3.561 eV/atom; volume = 41.948 A^3/atom; DOS(E_F) = 1.75 states/eV/atom; SG = Fm-3m (225)
1.0
-4.192 3.643 2.736
-1.187 5.624 -2.301
-5.413 1.125 -2.787
Rb Cr Nb
2 1 1
Direct
0.750 0.750 0.750
0.250 0.250 0.250
0.000 0.000 0.000
0.500 0.500 0.500

***

5.
GGA-PBE RbNbCr2S, optimized geometry; electronic total energy = -6.184 eV/atom; volume = 25.980 A^3/atom; DOS(E_F) = 0.56 states/eV/atom; E_form (uncorrected) = 699 meV/atom; SG = P4/mmm (123)
1.0
-1.728 3.468 -3.401
-4.319 0.089 2.284
1.683 3.814 3.034
Nb Cr S Rb
1 2 1 1
Direct
0.000 0.000 0.000
0.500 0.000 0.000
0.000 0.000 0.500
0.000 0.500 0.000
0.500 0.500 0.500

***

6.
GGA-PBE Rb2NbCr2Se6, optimized geometry; electronic total energy = -5.528 eV/atom; volume = 26.790 A^3/atom; DOS(E_F) = 0.44 states/eV/atom; E_form (uncorrected) = -786 meV/atom; SG = C2/m (12)
1.0
-2.602 5.687 1.585
-3.360 -5.441 0.852
4.961 -0.785 6.778
Se Cr Rb Nb
6 2 2 1
Direct
0.059 0.400 0.677
0.289 0.289 0.322
0.600 0.941 0.323
0.400 0.059 0.677
0.711 0.711 0.678
0.941 0.600 0.323
0.333 0.667 0.500
0.667 0.333 0.500
0.836 0.164 0.000
0.164 0.836 0.000
0.000 0.000 0.500

***

7.
GGA-PBE Rb3NbCr2Se6, optimized geometry; electronic total energy = -5.211 eV/atom; volume = 26.218 A^3/atom; DOS(E_F) = 0.70 states/eV/atom; E_form (uncorrected) = -784 meV/atom; SG = C2/m (12)
1.0
-2.578 -0.385 -6.349
-1.345 -4.959 4.550
-4.971 5.607 2.915
Se Nb Rb Cr
6 1 3 2
Direct
0.058 0.398 0.174
0.942 0.602 0.826
0.398 0.058 0.174
0.602 0.942 0.826
0.282 0.282 0.827
0.718 0.718 0.173
0.000 0.000 0.000
0.835 0.165 0.500
0.500 0.500 0.500
0.165 0.835 0.500
0.333 0.667 0.000
0.667 0.333 0.000

***

8.
GGA-PBE RbNbV2Cr, optimized geometry; electronic total energy = -5.761 eV/atom; volume = 19.787 A^3/atom; DOS(E_F) = 1.18 states/eV/atom; SG = P4/mmm (123)
1.0
-1.893 -2.073 -3.421
3.069 -3.953 0.698
-2.963 -1.816 2.740
Nb Rb Cr V
1 1 1 2
Direct
0.500 0.500 0.500
0.000 0.500 0.000
0.000 0.000 0.000
0.500 0.000 0.000
0.000 0.000 0.500

***

9.
GGA-PBE RbNb2CrW, optimized geometry; electronic total energy = -6.711 eV/atom; volume = 30.180 A^3/atom; DOS(E_F) = 0.88 states/eV/atom; SG = P4/mmm (123)
1.0
-0.603 -1.355 -4.668
-4.907 -3.562 1.668
-3.004 3.802 -0.716
W Nb Cr Rb
1 2 1 1
Direct
0.000 0.000 0.000
0.000 0.000 0.500
0.500 0.000 0.000
0.500 0.500 0.500
0.000 0.500 0.000

***

10.
GGA-PBE RbNb2CrW, optimized geometry; electronic total energy = -7.194 eV/atom; volume = 25.803 A^3/atom; DOS(E_F) = 1.14 states/eV/atom; SG = P4/mmm (123)
1.0
-0.606 -0.408 4.937
-5.029 -1.020 -0.702
1.028 -4.876 -0.277
Nb W Cr Rb
2 1 1 1
Direct
0.500 0.000 0.000
0.000 0.000 0.500
0.000 0.000 0.000
0.000 0.500 0.000
0.500 0.500 0.500

***

11.
GGA-PBE NbCr2Re, optimized geometry; electronic total energy = -10.453 eV/atom; volume = 14.122 A^3/atom; DOS(E_F) = 0.68 states/eV/atom; SG = P4/mmm (123)
1.0
-0.028 2.943 0.749
-0.986 -0.718 2.781
5.794 -0.439 1.942
Nb Re Cr
1 1 2
Direct
0.500 0.500 0.500
0.500 0.500 0.000
0.000 0.000 0.240
0.000 0.000 0.760

***

12.
GGA-PBE NbCr2Re, optimized geometry; electronic total energy = -9.704 eV/atom; volume = 15.353 A^3/atom; DOS(E_F) = 1.34 states/eV/atom; SG = I-42d (122)
1.0
6.830 0.000 0.000
0.000 6.830 0.000
3.415 3.415 2.633
Cr Re Nb
4 2 2
Direct
0.375 0.356 0.750
0.644 0.125 0.250
0.875 0.894 0.750
0.106 0.625 0.250
0.750 0.250 0.500
0.000 0.000 0.000
0.500 0.500 0.000
0.250 0.750 0.500

***

13.
GGA-PBE Nb4CrRe2, optimized geometry; electronic total energy = -9.705 eV/atom; volume = 19.093 A^3/atom; DOS(E_F) = 1.12 states/eV/atom; SG = I4/mmm (139)
1.0
-1.184 4.048 -1.636
-4.082 -1.628 -1.074
-4.871 2.934 4.533
Re Nb Cr
2 4 1
Direct
0.376 0.376 0.247
0.624 0.624 0.753
0.189 0.189 0.623
0.000 0.500 0.000
0.500 0.000 0.000
0.811 0.811 0.377
0.000 0.000 0.000

***

14.
GGA-PBE NbCrRe3, optimized geometry; electronic total energy = -8.734 eV/atom; volume = 20.523 A^3/atom; DOS(E_F) = 2.09 states/eV/atom; SG = Pm-3m (221)
1.0
4.682 0.000 0.000
0.000 4.682 0.000
0.000 0.000 4.682
Re Nb Cr
3 1 1
Direct
0.000 0.000 0.500
0.000 0.500 0.000
0.500 0.000 0.000
0.000 0.000 0.000
0.500 0.500 0.500

***

15.
GGA-PBE NbCr2Re, optimized geometry; electronic total energy = -10.472 eV/atom; volume = 14.050 A^3/atom; DOS(E_F) = 0.74 states/eV/atom; SG = P4/mmm (123)
1.0
-0.998 -2.324 -1.687
-2.116 -1.561 3.402
-3.466 2.291 -1.105
Cr Re Nb
2 1 1
Direct
0.000 0.000 0.500
0.000 0.500 0.000
0.500 0.500 0.500
0.500 0.000 0.000

***

16.
GGA-PBE NbCrRe3, optimized geometry; electronic total energy = -10.159 eV/atom; volume = 17.344 A^3/atom; DOS(E_F) = 0.95 states/eV/atom; SG = Pm-3m (221)
1.0
-0.850 -1.502 4.076
4.164 0.902 1.201
-1.238 4.065 1.239
Nb Re Cr
1 3 1
Direct
0.500 0.500 0.500
0.500 0.000 0.000
0.000 0.000 0.500
0.000 0.500 0.000
0.000 0.000 0.000

***

17.
GGA-PBE NbCr2Re, optimized geometry; electronic total energy = -9.623 eV/atom; volume = 15.642 A^3/atom; DOS(E_F) = 1.00 states/eV/atom; SG = Immm (71)
1.0
4.620 -1.591 -2.690
-1.433 4.672 2.690
-3.136 0.056 4.612
Nb Cr Re
1 2 1
Direct
0.000 0.000 0.000
0.000 0.264 0.264
0.000 0.736 0.736
0.000 0.500 0.500

***

18.
GGA-PBE NbCr2Re, optimized geometry; electronic total energy = -10.492 eV/atom; volume = 14.041 A^3/atom; DOS(E_F) = 0.42 states/eV/atom; SG = Fm-3m (225)
1.0
0.000 3.040 3.040
3.040 0.000 3.040
3.040 3.040 0.000
Re Cr Nb
1 2 1
Direct
0.500 0.500 0.500
0.750 0.750 0.750
0.250 0.250 0.250
0.000 0.000 0.000

***

19.
GGA-PBE Nb3CrRe2, optimized geometry; electronic total energy = -10.978 eV/atom; volume = 16.065 A^3/atom; DOS(E_F) = 0.69 states/eV/atom; SG = Cmmm (65)
1.0
4.502 0.000 0.018
2.251 6.737 0.009
-0.026 0.000 6.357
Cr Re Nb
2 4 6
Direct
0.333 0.334 0.000
0.667 0.666 0.000
0.666 0.667 0.500
0.000 0.000 0.500
0.334 0.333 0.500
0.000 0.000 0.000
0.832 0.336 0.755
0.500 0.000 0.753
0.500 0.000 0.247
0.832 0.336 0.245
0.168 0.664 0.245
0.168 0.664 0.755

***

20.
GGA-PBE NbCrRe2Sb, optimized geometry; electronic total energy = -8.379 eV/atom; volume = 18.921 A^3/atom; DOS(E_F) = 1.14 states/eV/atom; E_form (uncorrected) = 1363 meV/atom; SG = P4/mmm (123)
1.0
4.499 0.000 0.000
0.000 4.674 0.000
0.000 0.000 4.499
Nb Re Sb Cr
1 2 1 1
Direct
0.500 0.500 0.500
0.500 0.000 0.000
0.000 0.000 0.500
0.000 0.500 0.000
0.000 0.000 0.000

***

21.
GGA-PBE ScNbCrRe, optimized geometry; electronic total energy = -9.608 eV/atom; volume = 16.721 A^3/atom; DOS(E_F) = 0.87 states/eV/atom; SG = F-43m (216)
1.0
-0.677 -3.313 3.053
3.563 -2.047 1.968
0.906 0.740 4.404
Re Cr Sc Nb
1 1 1 1
Direct
0.750 0.750 0.750
0.250 0.250 0.250
0.000 0.000 0.000
0.500 0.500 0.500

***

22.
GGA-PBE TaNbCrRe, optimized geometry; electronic total energy = -11.196 eV/atom; volume = 15.768 A^3/atom; DOS(E_F) = 0.67 states/eV/atom; SG = F-43m (216)
1.0
-3.771 0.176 -2.390
-3.940 -0.699 1.989
-2.849 3.395 0.569
Nb Re Ta Cr
1 1 1 1
Direct
0.500 0.500 0.500
0.250 0.250 0.250
0.000 0.000 0.000
0.750 0.750 0.750

***

23.
GGA-PBE NbCrReTc, optimized geometry; electronic total energy = -10.637 eV/atom; volume = 14.891 A^3/atom; DOS(E_F) = 1.08 states/eV/atom; SG = F-43m (216)
1.0
4.384 0.000 0.000
2.192 3.796 0.000
2.192 1.265 3.579
Cr Re Nb Tc
1 1 1 1
Direct
0.250 0.250 0.250
0.500 0.500 0.500
0.000 0.000 0.000
0.750 0.750 0.750

***

24.
GGA-PBE NbCrRe2Te, optimized geometry; electronic total energy = -6.985 eV/atom; volume = 22.426 A^3/atom; DOS(E_F) = 1.78 states/eV/atom; E_form (uncorrected) = 2561 meV/atom; SG = P4/mmm (123)
1.0
-3.681 -1.886 2.379
-2.385 -0.707 -4.250
1.970 -4.329 -0.385
Re Nb Cr Te
2 1 1 1
Direct
0.500 0.000 0.000
0.000 0.000 0.500
0.000 0.500 0.000
0.500 0.500 0.500
0.000 0.000 0.000

***

25.
GGA-PBE TiNb2CrRe, optimized geometry; electronic total energy = -9.010 eV/atom; volume = 17.873 A^3/atom; DOS(E_F) = 1.21 states/eV/atom; SG = P4/mmm (123)
1.0
4.620 0.000 0.000
0.000 4.187 0.000
0.000 0.000 4.620
Nb Cr Re Ti
2 1 1 1
Direct
0.500 0.000 0.000
0.000 0.000 0.500
0.000 0.000 0.000
0.500 0.500 0.500
0.000 0.500 0.000

***

26.
GGA-PBE Nb2VCrRe, optimized geometry; electronic total energy = -8.769 eV/atom; volume = 20.987 A^3/atom; DOS(E_F) = 1.62 states/eV/atom; SG = P4/mmm (123)
1.0
-4.762 -0.402 -0.907
0.889 -0.981 -4.233
0.183 -4.727 1.133
Nb Cr V Re
2 1 1 1
Direct
0.500 0.000 0.000
0.000 0.000 0.500
0.000 0.500 0.000
0.500 0.500 0.500
0.000 0.000 0.000

***

27.
GGA-PBE Nb2CrRh, optimized geometry; electronic total energy = -9.381 eV/atom; volume = 15.691 A^3/atom; DOS(E_F) = 1.19 states/eV/atom; SG = Fm-3m (225)
1.0
0.000 3.154 3.154
3.154 0.000 3.154
3.154 3.154 0.000
Nb Cr Rh
2 1 1
Direct
0.750 0.750 0.750
0.250 0.250 0.250
0.000 0.000 0.000
0.500 0.500 0.500